LiCa3RuO6: relaxed, PBE.

Cell: 6.480 6.480 6.480 Å, 91.94 91.94 91.94°
Last column: magnetic moment on the atom in μB.
Positions (direct):
Li 0.250 0.250 0.250  0.00
Li 0.750 0.750 0.750  0.00
Ca 0.895 0.605 0.250  0.01
Ca 0.605 0.250 0.895  0.01
Ca 0.750 0.105 0.395  0.01
Ca 0.395 0.750 0.105  0.01
Ca 0.105 0.395 0.750  0.01
Ca 0.250 0.895 0.605  0.01
Ru 0.000 0.000 0.000  1.91
Ru 0.500 0.500 0.500  1.91
O 0.792 0.450 0.577  0.12
O 0.923 0.050 0.708  0.12
O 0.708 0.923 0.050  0.12
O 0.050 0.708 0.923  0.12
O 0.577 0.792 0.450  0.12
O 0.450 0.577 0.792  0.12
O 0.423 0.208 0.550  0.12
O 0.550 0.423 0.208  0.12
O 0.950 0.292 0.077  0.12
O 0.292 0.077 0.950  0.12
O 0.077 0.950 0.292  0.12
O 0.208 0.550 0.423  0.12

Energy   -143.367 eV for the cell shown
Crystal system   trigonal
Size of the total moment   3.0 μB/f.u.